No. 1
DFT (GGA-PBE) results for AgB3O after structural relaxation.

Cell lengths 4.087, 4.087, 4.087 Å; angles 90.00, 90.00, 90.00 degrees
Space group Pm-3m (No. 221)
One atom of each set of equivalent atoms:
Ag  0.000  0.000  0.000 [1 per cell]
B  0.000  0.000  0.500 [3 per cell]
O  0.500  0.500  0.500 [1 per cell]

Values from the calculation:
Formation energy from raw total energies ... 2181 meV/atom

No. 2
DFT (GGA-PBE) results for Y2Pt2O after structural relaxation.

Cell lengths 5.441, 5.441, 7.232 Å; angles 90.00, 90.00, 90.00 degrees
Space group I4/mmm (No. 139)
One atom of each set of equivalent atoms:
Y  0.000  0.500  0.250 [4 per cell]
Pt  0.000  0.000  0.173 [4 per cell]
O  0.000  0.000  0.500 [2 per cell]

Values from the calculation:
Formation energy from raw total energies ... -728 meV/atom

No. 3
DFT (GGA-PBE) results for LiHfHg2Te after structural relaxation.

Cell lengths 4.831, 4.831, 4.946 Å; angles 90.00, 90.00, 90.00 degrees
Space group P4/mmm (No. 123)
One atom of each set of equivalent atoms:
Li  0.000  0.000  0.000 [1 per cell]
Hf  0.500  0.500  0.500 [1 per cell]
Hg  0.000  0.500  0.000 [2 per cell]
Te  0.000  0.000  0.500 [1 per cell]

Values from the calculation:
Formation energy from raw total energies ... 284 meV/atom

No. 4
DFT (GGA-PBE) results for MgTcSnH after structural relaxation.

Cell lengths 3.508, 3.511, 5.291 Å; angles 109.20, 109.00, 90.70 degrees
Space group P1 (No. 1)
One atom of each set of equivalent atoms:
Mg  0.000  0.000  0.000 [1 per cell]
Tc  0.370  0.354  0.722 [1 per cell]
Sn  0.733  0.680  0.408 [1 per cell]
H  0.282  0.116  0.381 [1 per cell]

No. 5
DFT (GGA-PBE) results for KSrN2 after structural relaxation.

Cell lengths 4.0964, 4.0964, 22.1278 Å; angles 90.00, 90.00, 120.00 degrees
Space group R-3m (No. 166, hexagonal axes)
One atom of each set of equivalent atoms:
K  0.0000  0.0000  0.0000 [3 per cell]
Sr  0.0000  0.0000  0.5000 [3 per cell]
N  0.0000  0.0000  0.1159 [6 per cell]

Values from the calculation:
Formation energy from raw total energies ... 804 meV/atom

No. 6
DFT (GGA-PBE) results for Mn2ReSi after structural relaxation.

Cell lengths 3.694, 3.694, 7.325 Å; angles 90.00, 90.00, 90.00 degrees
Space group I-4m2 (No. 119)
One atom of each set of equivalent atoms:
Mn  0.000  0.000  0.000 [2 per cell]
Mn  0.000  0.500  0.250 [2 per cell]
Re  0.000  0.500  0.750 [2 per cell]
Si  0.000  0.000  0.500 [2 per cell]

Values from the calculation:
Formation energy from raw total energies ... -128 meV/atom

No. 7
DFT (GGA-PBE) results for Sm2Al3GaPd4 after structural relaxation.

Cell lengths 4.356, 4.356, 10.074 Å; angles 90.00, 90.00, 90.00 degrees
Space group P-4m2 (No. 115)
One atom of each set of equivalent atoms:
Sm  0.000  0.500  0.248 [2 per cell]
Al  0.000  0.000  0.000 [1 per cell]
Al  0.000  0.500  0.625 [2 per cell]
Ga  0.500  0.500  0.000 [1 per cell]
Pd  0.000  0.000  0.500 [1 per cell]
Pd  0.000  0.500  0.869 [2 per cell]
Pd  0.500  0.500  0.500 [1 per cell]

Values from the calculation:
ΔE_f ... -81.9 kJ per mole of atoms

No. 8
DFT (GGA-PBE) results for LaCoH after structural relaxation.

Cell lengths 4.199, 4.317, 5.967 Å; angles 85.68, 69.76, 75.31 degrees
Space group P1 (No. 1)
One atom of each set of equivalent atoms:
La  0.000  0.000  0.000 [1 per cell]
La  0.230  0.486  0.469 [1 per cell]
Co  0.553  0.550  0.872 [1 per cell]
Co  0.642  0.089  0.624 [1 per cell]
H  0.593  0.731  0.603 [1 per cell]
H  0.662  0.587  0.096 [1 per cell]

No. 9
DFT (GGA-PBE) results for Cs2Se2Br after structural relaxation.

Cell lengths 17.693, 4.987, 11.900 Å; angles 90.00, 121.48, 90.00 degrees
Space group C2/m (No. 12)
One atom of each set of equivalent atoms:
Cs  0.062  0.000  0.232 [4 per cell]
Cs  0.186  0.000  0.753 [4 per cell]
Se  0.052  0.500  0.450 [4 per cell]
Se  0.209  0.500  0.509 [4 per cell]
Br  0.156  0.000  0.035 [4 per cell]

Values from the calculation:
Formation energy from raw total energies ... -1081 meV/atom

No. 10
DFT (GGA-PBE) results for CoAsW2 after structural relaxation.

Cell lengths 3.083, 4.347, 8.480 Å; angles 90.00, 90.00, 90.00 degrees
Space group Imm2 (No. 44)
One atom of each set of equivalent atoms:
Co  0.000  0.000  0.000 [2 per cell]
As  0.000  0.500  0.293 [2 per cell]
W  0.000  0.000  0.544 [2 per cell]
W  0.000  0.500  0.759 [2 per cell]

Values from the calculation:
ΔE_f ... 18.1 kJ per mole of atoms

No. 11
DFT (GGA-PBE) results for TiAsHBr2 after structural relaxation.

Cell lengths 5.012, 5.012, 3.516 Å; angles 90.00, 90.00, 90.00 degrees
Space group P4/mmm (No. 123)
One atom of each set of equivalent atoms:
Ti  0.000  0.000  0.000 [1 per cell]
As  0.500  0.500  0.000 [1 per cell]
H  0.500  0.500  0.500 [1 per cell]
Br  0.000  0.500  0.500 [2 per cell]

No. 12
DFT (GGA-PBE) results for NdThCu2 after structural relaxation.

Cell lengths 3.8308, 3.8308, 23.8410 Å; angles 90.00, 90.00, 120.00 degrees
Space group R-3m (No. 166, hexagonal axes)
One atom of each set of equivalent atoms:
Nd  0.0000  0.0000  0.0000 [3 per cell]
Th  0.0000  0.0000  0.5000 [3 per cell]
Cu  0.0000  0.0000  0.2479 [6 per cell]

Values from the calculation:
ΔE_f ... 9.5 kJ per mole of atoms

Number 1: M_tot 0.000 μB per formula unit, total DFT energy (no corrections) -3.3873 eV per atom. Number 2: M_tot 0.000 μB per formula unit, total DFT energy (no corrections) -6.7214 eV per atom. Number 3: M_tot 0.000 μB per formula unit, total DFT energy (no corrections) -2.8384 eV per atom. Number 4: M_tot 0.000 μB per formula unit, total DFT energy (no corrections) -4.8109 eV per atom. Number 5: M_tot 3.000 μB per formula unit, total DFT energy (no corrections) -4.0538 eV per atom. Number 6: M_tot 3.184 μB per formula unit, total DFT energy (no corrections) -9.1806 eV per atom. Number 7: M_tot 0.000 μB per formula unit, total DFT energy (no corrections) -5.2948 eV per atom. Number 8: M_tot 0.001 μB per formula unit, total DFT energy (no corrections) -5.3501 eV per atom. Number 9: M_tot 0.000 μB per formula unit, total DFT energy (no corrections) -3.1504 eV per atom. Number 10: M_tot 0.000 μB per formula unit, total DFT energy (no corrections) -9.2276 eV per atom. Number 11: M_tot 0.000 μB per formula unit, total DFT energy (no corrections) -3.4510 eV per atom. Number 12: M_tot 0.000 μB per formula unit, total DFT energy (no corrections) -4.9963 eV per atom.